1.
# GGA-PBE NbInCuTc, optimized geometry
# * total magnetization: 0.0 μB per formula unit
# * energy above the lowest structure with this stoichiometry: 0 meV/atom
data_NbInCuTc
_symmetry_space_group_name_H-M 'F -4 3 m'
_symmetry_Int_Tables_number 216
_symmetry_space_group_name_Hall 'F -4 2 3'
_cell_length_a 6.417
_cell_length_b 6.417
_cell_length_c 6.417
_cell_angle_alpha 90.00
_cell_angle_beta 90.00
_cell_angle_gamma 90.00
loop_
_atom_site_label
_atom_site_type_symbol
_atom_site_fract_x
_atom_site_fract_y
_atom_site_fract_z
_atom_site_occupancy
Nb1 Nb 0.000 0.000 0.000 1
In1 In 0.000 0.000 0.500 1
Cu1 Cu 0.250 0.250 0.750 1
Tc1 Tc 0.250 0.250 0.250 1

2.
# GGA-PBE NpZn, optimized geometry
# * raw total energy: -7.029 eV/atom
# * total magnetization: 0.0 μB per formula unit
data_NpZn
_symmetry_space_group_name_H-M 'P m m n'
_symmetry_Int_Tables_number 59
_cell_length_a 2.643
_cell_length_b 4.482
_cell_length_c 11.148
_cell_angle_alpha 90.00
_cell_angle_beta 90.00
_cell_angle_gamma 90.00
loop_
_symmetry_equiv_pos_as_xyz
'x,y,z'
'-x,-y,-z'
'-x+1/2,-y+1/2,z'
'x+1/2,y+1/2,-z'
'x+1/2,-y,-z'
'-x+1/2,y,z'
'-x,y+1/2,-z'
'x,-y+1/2,z'
loop_
_atom_site_label
_atom_site_type_symbol
_atom_site_fract_x
_atom_site_fract_y
_atom_site_fract_z
_atom_site_occupancy
Np1 Np 0.250 0.250 0.087 1
Np2 Np 0.250 0.750 0.187 1
Zn1 Zn 0.250 0.250 0.551 1
Zn2 Zn 0.250 0.750 0.665 1

3.
# GGA-PBE SrPmNd, optimized geometry
# * raw total energy: -2.945 eV/atom
# * total magnetization: 0.1 μB per formula unit
data_SrPmNd
_symmetry_space_group_name_H-M 'F -4 3 m'
_symmetry_Int_Tables_number 216
_symmetry_space_group_name_Hall 'F -4 2 3'
_cell_length_a 8.262
_cell_length_b 8.262
_cell_length_c 8.262
_cell_angle_alpha 90.00
_cell_angle_beta 90.00
_cell_angle_gamma 90.00
loop_
_atom_site_label
_atom_site_type_symbol
_atom_site_fract_x
_atom_site_fract_y
_atom_site_fract_z
_atom_site_occupancy
Sr1 Sr 0.000 0.000 0.000 1
Pm1 Pm 0.250 0.250 0.750 1
Nd1 Nd 0.000 0.000 0.500 1

4.
# GGA-PBE RbPm2CuSe4, optimized geometry
# * raw total energy: -5.030 eV/atom
# * total magnetization: 0.0 μB per formula unit
data_RbPm2CuSe4
_symmetry_space_group_name_H-M 'C m c m'
_symmetry_Int_Tables_number 63
_symmetry_space_group_name_Hall '-C 2c 2'
_cell_length_a 4.221
_cell_length_b 14.584
_cell_length_c 14.632
_cell_angle_alpha 90.00
_cell_angle_beta 90.00
_cell_angle_gamma 90.00
loop_
_atom_site_label
_atom_site_type_symbol
_atom_site_fract_x
_atom_site_fract_y
_atom_site_fract_z
_atom_site_occupancy
Rb1 Rb 0.000 0.108 0.250 1
Pm1 Pm 0.000 0.365 0.063 1
Cu1 Cu 0.000 0.162 0.750 1
Se1 Se 0.000 0.000 0.000 1
Se2 Se 0.000 0.263 0.613 1
Se3 Se 0.000 0.430 0.250 1

5.
# GGA-PBE NaTe3OsAu, optimized geometry
# * raw total energy: -4.230 eV/atom
# * total magnetization: 0.0 μB per formula unit
data_NaTe3OsAu
_symmetry_space_group_name_H-M 'C m c m'
_symmetry_Int_Tables_number 63
_symmetry_space_group_name_Hall '-C 2c 2'
_cell_length_a 3.998
_cell_length_b 14.501
_cell_length_c 10.747
_cell_angle_alpha 90.00
_cell_angle_beta 90.00
_cell_angle_gamma 90.00
loop_
_atom_site_label
_atom_site_type_symbol
_atom_site_fract_x
_atom_site_fract_y
_atom_site_fract_z
_atom_site_occupancy
Na1 Na 0.000 0.248 0.250 1
Te1 Te 0.000 0.060 0.750 1
Te2 Te 0.000 0.376 0.508 1
Os1 Os 0.000 0.000 0.000 1
Au1 Au 0.000 0.406 0.750 1

6.
# GGA-PBE InCuSiS3, optimized geometry
# * raw total energy: -4.323 eV/atom
data_InCuSiS3
_symmetry_space_group_name_H-M 'C m c m'
_symmetry_Int_Tables_number 63
_symmetry_space_group_name_Hall '-C 2c 2'
_cell_length_a 3.361
_cell_length_b 12.821
_cell_length_c 10.026
_cell_angle_alpha 90.00
_cell_angle_beta 90.00
_cell_angle_gamma 90.00
loop_
_atom_site_label
_atom_site_type_symbol
_atom_site_fract_x
_atom_site_fract_y
_atom_site_fract_z
_atom_site_occupancy
In1 In 0.000 0.196 0.250 1
Cu1 Cu 0.000 0.132 0.750 1
Si1 Si 0.000 0.500 0.000 1
S1 S 0.000 0.123 0.519 1
S2 S 0.000 0.480 0.750 1

7.
# GGA-PBE Nb2Bi3Mo4N3, optimized geometry
# * raw total energy: -8.361 eV/atom
# * total magnetization: 0.0 μB per formula unit
data_Nb2Bi3Mo4N3
_symmetry_space_group_name_H-M 'C 1 2/c 1'
_symmetry_Int_Tables_number 15
_symmetry_space_group_name_Hall '-C 2yc'
_cell_length_a 10.262
_cell_length_b 5.902
_cell_length_c 13.525
_cell_angle_alpha 90.00
_cell_angle_beta 104.85
_cell_angle_gamma 90.00
loop_
_atom_site_label
_atom_site_type_symbol
_atom_site_fract_x
_atom_site_fract_y
_atom_site_fract_z
_atom_site_occupancy
Nb1 Nb 0.059 0.085 0.426 1
Bi1 Bi 0.000 0.425 0.250 1
Bi2 Bi 0.170 0.085 0.749 1
Mo1 Mo 0.107 0.417 0.569 1
Mo2 Mo 0.227 0.416 0.931 1
N1 N 0.085 0.256 0.000 1
N2 N 0.250 0.250 0.500 1

8.
# GGA-PBE KTmAlTe3, optimized geometry
# * raw total energy: -4.021 eV/atom
# * total magnetization: 0.0 μB per formula unit
data_KTmAlTe3
_symmetry_space_group_name_H-M 'C m c m'
_symmetry_Int_Tables_number 63
_symmetry_space_group_name_Hall '-C 2c 2'
_cell_length_a 4.800
_cell_length_b 15.280
_cell_length_c 11.464
_cell_angle_alpha 90.00
_cell_angle_beta 90.00
_cell_angle_gamma 90.00
loop_
_atom_site_label
_atom_site_type_symbol
_atom_site_fract_x
_atom_site_fract_y
_atom_site_fract_z
_atom_site_occupancy
K1 K 0.000 0.248 0.250 1
Tm1 Tm 0.000 0.000 0.000 1
Al1 Al 0.000 0.484 0.750 1
Te1 Te 0.000 0.070 0.750 1
Te2 Te 0.000 0.375 0.563 1